DFT (PBE-GGA) results for a relaxed YCr2Cu2 crystal.

* size of the total moment: 0.01 Bohr magnetons per cell
* space group: I4/mmm (139)
* E_tot: -0.475 Ry per atom
* ΔH_f (0 K): 0.3141 eV/atom
* excess energy over the best structure of this formula in the dataset: 0.0 meV/atom
* Fermi-level density of states: 5.90 states/eV/f.u.

Cell: 6.6921 6.6921 6.6921 Å, 149.34 149.34 43.91°
Last column: nearest neighbours and their distance in Å.
Positions (direct):
Y: 0.0000 0.0000 0.0000  8 Cu 2.81
Cr: 0.2500 0.7500 0.5000  4 Cr 2.50, 4 Cu 2.54
Cr: 0.7500 0.2500 0.5000  4 Cr 2.50, 4 Cu 2.54
Cu: 0.3968 0.3968 0.0000  4 Cr 2.54, 1 Cu 2.56, 4 Y 2.81
Cu: 0.6032 0.6032 0.0000  4 Cr 2.54, 1 Cu 2.56, 4 Y 2.81